Hg2TeCl, relaxed, DFT PBE; uncorrected energy = -19.21 eV per cell; excess energy over the best structure of this formula in the dataset = 61 meV/atom; formation energy from raw total energies = -0.81 eV/f.u.
1.0
6.993 0.000 0.000
-3.497 6.056 0.000
0.000 0.000 8.883
Hg Te Cl
6 3 3
Direct
0.089 0.522 0.380
0.433 0.911 0.046
0.478 0.567 0.713
0.522 0.089 0.620
0.567 0.478 0.287
0.911 0.433 0.954
0.000 0.773 0.167
0.227 0.227 0.500
0.773 0.000 0.833
0.000 0.651 0.667
0.349 0.349 0.000
0.651 0.000 0.333

=====

Hg5Te2Cl, relaxed, DFT PBE; uncorrected energy = -10.85 eV per cell; formation energy from raw total energies = -1.21 eV/f.u.
1.0
5.493 0.000 0.000
-2.726 7.149 0.000
-2.736 -2.711 6.617
Hg Te Cl
5 2 1
Direct
0.000 0.000 0.000
0.002 0.499 0.501
0.105 0.356 0.856
0.377 0.127 0.628
0.596 0.846 0.346
0.626 0.104 0.149
0.627 0.648 0.604
0.901 0.649 0.150

=====

HgTe2Cl, relaxed, DFT PBE; uncorrected energy = -8.18 eV per cell; excess energy over the best structure of this formula in the dataset = 202 meV/atom; formation energy from raw total energies = 0.26 eV/f.u.
1.0
2.087 -3.487 0.000
2.087 3.487 0.000
0.000 0.000 8.244
Hg Te Cl
1 2 1
Direct
0.000 0.000 0.000
0.500 0.500 0.229
0.500 0.500 0.771
0.000 0.000 0.500

=====

Hg2TeCl, relaxed, DFT PBE; uncorrected energy = -6.29 eV per cell; excess energy over the best structure of this formula in the dataset = 90 meV/atom; formation energy from raw total energies = -0.70 eV/f.u.
1.0
6.366 -1.683 0.000
6.366 1.683 0.000
-2.755 0.000 5.383
Hg Te Cl
2 1 1
Direct
0.000 0.000 0.000
0.237 0.237 0.225
0.479 0.479 0.482
0.779 0.779 0.796

=====

Hg2TeCl, relaxed, DFT PBE; uncorrected energy = -6.00 eV per cell; excess energy over the best structure of this formula in the dataset = 163 meV/atom; formation energy from raw total energies = -0.41 eV/f.u.
1.0
2.120 -4.179 0.000
2.120 4.179 0.000
0.000 0.000 7.977
Hg Te Cl
2 1 1
Direct
0.000 0.000 0.245
0.000 0.000 0.755
0.500 0.500 0.000
0.500 0.500 0.500

=====

HgTeCl, relaxed, DFT PBE; uncorrected energy = -5.01 eV per cell; excess energy over the best structure of this formula in the dataset = 471 meV/atom; formation energy from raw total energies = 0.28 eV/f.u.
1.0
0.000 3.541 3.541
3.541 0.000 3.541
3.541 3.541 0.000
Hg Te Cl
1 1 1
Direct
0.000 0.000 0.000
0.250 0.250 0.250
0.750 0.750 0.750

=====

Hg2TeCl, relaxed, DFT PBE; uncorrected energy = -5.68 eV per cell; excess energy over the best structure of this formula in the dataset = 243 meV/atom; formation energy from raw total energies = -0.09 eV/f.u.
1.0
7.658 -1.577 0.000
7.658 1.577 0.000
-1.666 0.000 4.835
Hg Te Cl
2 1 1
Direct
0.215 0.215 0.216
0.785 0.785 0.784
0.000 0.000 0.000
0.500 0.500 0.500

=====

HgTeCl, relaxed, DFT PBE; uncorrected energy = -5.17 eV per cell; excess energy over the best structure of this formula in the dataset = 418 meV/atom; formation energy from raw total energies = 0.12 eV/f.u.
1.0
-1.720 1.720 7.019
1.720 -1.720 7.019
1.720 1.720 -7.019
Hg Te Cl
1 1 1
Direct
0.000 0.000 0.000
0.654 0.654 0.000
0.387 0.387 0.000

=====

Q: Which value of formation energy from raw total energies does entry 3 give?
A: 0.26 eV/f.u.